Entry 1:
A plane-wave DFT calculation with PBE+U was carried out for a relaxed Na5Fe2P2C2O14 crystal.

The structure in POSCAR format:
```
Na5Fe2P2C2O14
1.0
-5.171 3.956 1.107
-4.255 -7.264 6.086
2.183 -0.042 10.346
Na Fe P C O
10 4 4 4 28
Cartesian
0.061 0.305 9.366
-3.126 -3.355 7.262
-1.080 -5.496 14.740
-3.655 -3.563 15.329
-0.032 -1.628 6.589
-6.164 2.186 2.761
-3.614 0.198 2.253
-4.867 -3.515 10.447
-7.388 -3.590 8.191
-4.123 0.010 10.278
-5.417 -0.442 5.547
-6.501 -4.115 13.785
-1.752 -2.963 11.976
-0.714 0.745 3.748
-2.583 -1.962 4.558
-3.613 -5.496 12.851
-4.598 -1.435 12.967
-3.691 2.194 4.701
-2.396 2.367 10.274
-5.469 -1.250 7.935
-4.945 -5.641 7.285
-1.633 -2.207 9.573
-4.772 -5.204 6.077
-1.521 -1.947 8.338
-6.160 -1.889 7.010
-3.080 1.855 9.294
-5.898 -3.854 16.142
-4.887 -0.146 7.523
-3.924 -1.854 5.357
-2.000 -3.364 4.941
-4.760 -5.240 13.868
-2.941 -6.825 13.296
-4.314 -1.474 14.510
-3.434 2.311 6.194
-2.549 -4.332 13.103
-1.590 -0.852 4.910
-4.609 0.918 4.418
-5.506 -2.609 12.598
-2.887 -1.907 3.020
-4.057 -5.470 11.397
-5.211 -0.048 12.587
-3.250 -1.510 12.171
-2.410 2.028 3.838
-4.457 3.402 4.093
-1.442 0.579 1.417
-2.429 -3.147 10.031
-0.947 -1.564 10.500
-4.362 -5.051 8.287
-2.449 1.839 11.457
-5.363 -1.677 9.123
```

The space group is P2_1. Its uncorrected energy is -6.571 eV/atom. Its crystal system is monoclinic. As for the total moment: 0.360 μB per atom. The value obtained for the volume is 631.7 Å³ per cell.

=====

Entry 2:
A plane-wave DFT calculation with PBE+U was carried out for a relaxed NaFePCO7 crystal.

The structure in POSCAR format:
```
NaFePCO7
1.0
6.443 0.000 0.000
0.000 5.220 -0.006
0.000 0.332 9.345
Na Fe P C O
2 2 2 2 14
Cartesian
3.490 4.227 7.075
0.268 1.326 2.264
1.524 1.292 5.991
4.746 4.261 3.348
4.798 1.662 5.314
1.576 3.890 4.025
1.618 1.747 8.492
4.839 3.806 0.847
4.764 3.896 8.965
1.636 0.547 8.003
1.669 2.684 7.589
6.027 1.350 6.183
3.555 1.277 6.143
1.642 4.669 5.367
4.731 3.190 4.985
1.509 2.363 4.354
4.863 0.884 3.972
0.333 4.276 3.195
2.805 4.203 3.156
4.890 2.869 1.750
4.858 5.005 1.336
1.542 1.657 0.374
```

The space group is P2_1. Its uncorrected energy is -6.795 eV/atom. Its crystal system is monoclinic. As for the total moment: 0.368 μB per atom. The value obtained for the volume is 314.4 Å³ per cell.

=====

Entry 3:
A plane-wave DFT calculation with PBE+U was carried out for a relaxed NaFeCSO7 crystal.

The structure in POSCAR format:
```
NaFeCSO7
1.0
-2.610 -0.184 -5.929
-4.364 -1.925 1.981
-3.084 8.519 1.093
Na Fe C S O
2 2 2 2 14
Cartesian
-7.743 5.719 -0.069
-3.442 0.612 -5.346
-5.130 4.993 -3.270
-4.973 1.414 0.314
-6.541 6.883 -2.621
-3.498 -0.472 -0.191
-3.597 4.330 -0.366
-6.493 2.077 -2.563
-5.876 7.092 0.541
-5.360 7.022 -3.244
-6.784 5.617 -2.315
-3.228 5.223 0.752
-4.083 5.210 -1.463
-7.622 2.888 -2.061
-4.693 3.407 0.061
-5.460 2.996 -3.130
-2.446 3.521 -0.817
-6.954 1.131 -3.614
-5.898 1.253 -1.490
-3.138 0.803 -0.229
-4.752 -0.616 0.267
-4.223 -0.685 -3.487
```

The space group is P2_1. Its uncorrected energy is -6.484 eV/atom. Its crystal system is monoclinic. As for the total moment: 0.455 μB per atom. The value obtained for the volume is 305.4 Å³ per cell.

=====

Entry 4:
A plane-wave DFT calculation with PBE+U was carried out for a relaxed Na3FeSiCO7 crystal.

The structure in POSCAR format:
```
Na3FeSiCO7
1.0
-1.956 -6.259 -0.945
4.793 -1.711 1.409
-2.503 -0.517 8.603
Na Fe Si C O
6 2 2 2 14
Cartesian
-2.644 -5.560 7.460
-0.217 -7.838 6.396
0.720 -4.839 6.849
-0.387 -3.648 2.218
0.551 -0.648 2.671
2.978 -2.927 1.607
-1.097 -2.260 5.629
1.430 -6.226 3.438
-1.543 -5.484 4.680
1.877 -3.002 4.387
-1.509 -2.524 8.229
1.842 -5.962 0.838
-0.463 -6.349 8.173
-2.454 -2.109 7.433
-0.350 -2.806 7.694
-2.521 -6.661 5.294
-1.746 -4.180 5.668
0.035 -5.992 4.775
2.207 -3.342 5.956
-1.874 -5.144 3.111
0.298 -2.495 4.291
2.079 -4.306 3.399
2.854 -1.826 3.773
0.683 -5.680 1.373
2.787 -6.377 1.634
0.797 -2.137 0.894
```

The space group is P2_1/m. Its uncorrected energy is -6.500 eV/atom. Its crystal system is monoclinic. As for the total moment: 0.384 μB per atom. The value obtained for the volume is 313.9 Å³ per cell.